Entry 1:
Material: ScGe4Ru2
Method: DFT, GGA-PBE
State: relaxed

Geometry as POSCAR:
```
ScGe4Ru2
1.0
-2.426 2.426 6.340
2.426 -2.426 6.340
2.426 2.426 -6.340
Sc Ge Ru
1 4 2
Cartesian
0.000 0.000 0.000
2.426 0.000 0.000
0.000 0.000 2.776
0.000 2.426 0.000
0.000 0.000 9.904
0.000 0.000 5.075
0.000 0.000 7.604
```

The crystal system is tetragonal. The theoretical density comes out at 5.98 g/cm³. For the calculated total energy, the calculation gives -39.74 eV per cell. The density of states at the Fermi level is 0.7137 states/eV per atom.

---

Entry 2:
Material: La2ReOF
Method: DFT, GGA-PBE
State: relaxed

Geometry as POSCAR:
```
La2ReOF
1.0
5.024 0.000 0.000
0.000 5.024 0.000
0.000 0.000 3.837
La Re O F
2 1 1 1
Cartesian
0.000 2.512 0.000
2.512 0.000 0.000
0.000 0.000 1.918
2.512 2.512 1.918
2.512 2.512 0.000
```

The crystal system is tetragonal. The uncorrected formation energy is -0.56 eV per atom. The theoretical density comes out at 8.55 g/cm³. For the calculated total energy, the calculation gives -31.91 eV per cell. The density of states at the Fermi level is 0.8702 states/eV per atom.

---

Entry 3:
Material: MnHgI3
Method: DFT, GGA-PBE
State: relaxed

Geometry as POSCAR:
```
MnHgI3
1.0
4.459 -6.067 0.000
4.459 6.067 0.000
0.000 0.000 10.594
Mn Hg I
2 2 6
Cartesian
4.459 4.876 7.945
4.459 -4.876 2.648
4.459 4.415 2.648
4.459 -4.415 7.945
0.000 0.000 0.000
0.000 0.000 5.297
2.446 2.128 2.648
2.446 -2.128 7.945
6.473 2.128 2.648
6.473 -2.128 7.945
```

The calculation puts the energy relative to the lowest polymorph listed for this composition at 168 meV per atom. The crystal system is orthorhombic. The uncorrected formation energy is -0.18 eV per atom. The theoretical density comes out at 3.69 g/cm³. For the calculated total energy, the calculation gives -30.03 eV per cell. The density of states at the Fermi level is 0.3027 states/eV per atom.